Version one
Entry from the Alexandria database: a PBEsol-optimized structure of KTaAu2 (SCAN).

Output
Crystal system ... orthorhombic

Cell: 2.869 3.795 7.987 Å, 90.00 90.00 90.00°
Element x y z (fractional)
Au1 0.000 0.000 0.685
Au2 0.000 0.000 0.315
K1 0.500 0.500 0.000
Ta1 0.500 0.500 0.500

***

Version two
Entry from the Alexandria database: a PBEsol-optimized structure of KTaAu2 (SCAN).

Output
Crystal system ... orthorhombic

Cell: 4.661 4.869 4.869 Å, 62.85 61.41 61.41°
Element x y z (fractional)
Au1 0.227 0.773 0.773
Au2 0.773 0.227 0.227
K1 0.000 0.500 0.500
Ta1 0.500 0.000 0.000

***

If we sort the structures by their calculated energies, the order from most to least stable is version one, version two.

***

Version one
Entry from the Alexandria database: a PBEsol-optimized structure of KTl2Au2 (SCAN).

Output
Crystal system ... tetragonal

Cell: 3.238 8.700 8.700 Å, 90.00 90.00 90.00°
Element x y z (fractional)
Tl1 0.000 0.369 0.869
Tl2 0.000 0.869 0.631
Tl3 0.000 0.631 0.131
Tl4 0.000 0.131 0.369
Au1 0.500 0.167 0.667
Au2 0.500 0.667 0.833
Au3 0.500 0.833 0.333
Au4 0.500 0.333 0.167
K1 0.000 0.000 0.000
K2 0.000 0.500 0.500

***

Version two
Entry from the Alexandria database: a PBEsol-optimized structure of KTl2Au2 (SCAN).

Output
Crystal system ... tetragonal

Cell: 5.154 5.154 6.369 Å, 113.87 113.87 90.00°
Element x y z (fractional)
Tl1 0.356 0.356 0.711
Tl2 0.644 0.644 0.289
Au1 0.250 0.750 0.500
Au2 0.750 0.250 0.500
K1 0.000 0.000 0.000

***

If we sort the structures by their calculated energies, the order from most to least stable is version two, version one.

***

Version one
Entry from the Alexandria database: a PBEsol-optimized structure of K2WAu (SCAN).

Output
Crystal system ... cubic

Cell: 5.291 5.291 5.291 Å, 60.00 60.00 60.00°
Site moments in Bohr magnetons follow the coordinates.
Element x y z (fractional)
Au1 0.500 0.500 0.500  0.11
K1 0.000 0.000 0.000  0.06
K2 0.750 0.750 0.750  0.02
W1 0.250 0.250 0.250  3.21

***

Version two
Entry from the Alexandria database: a PBEsol-optimized structure of K2WAu (SCAN).

Output
Crystal system ... monoclinic

Cell: 2.748 5.848 5.834 Å, 90.00 114.61 90.00°
Element x y z (fractional)
Au1 0.500 0.500 0.000
K1 0.044 0.000 0.755
K2 0.956 0.000 0.245
W1 0.500 0.500 0.500

***

If we sort the structures by their calculated energies, the order from most to least stable is version two, version one.

***

Version one
Entry from the Alexandria database: a PBEsol-optimized structure of KZn2Au (SCAN).

Output
Crystal system ... monoclinic

Cell: 4.448 4.432 6.427 Å, 110.24 90.00 120.12°
Element x y z (fractional)
Zn1 0.683 0.366 0.548
Zn2 0.317 0.634 0.452
Au1 0.000 0.000 0.500
K1 0.500 0.000 0.000

***

Version two
Entry from the Alexandria database: a PBEsol-optimized structure of KZn2Au (SCAN).

Output
Crystal system ... orthorhombic

Cell: 2.791 5.562 6.299 Å, 116.20 102.80 90.00°
Element x y z (fractional)
Au1 0.000 0.500 0.000
K1 0.500 0.000 0.000
Zn1 0.706 0.706 0.412
Zn2 0.294 0.294 0.588

***

Version three
Entry from the Alexandria database: a PBEsol-optimized structure of KZn2Au (SCAN).

Output
Crystal system ... monoclinic

Cell: 2.700 5.609 6.208 Å, 116.33 101.56 92.17°
Element x y z (fractional)
Au1 0.000 0.500 0.000
K1 0.500 0.000 0.000
Zn1 0.500 0.500 0.500
Zn2 0.000 0.000 0.500

***

Version four
Entry from the Alexandria database: a PBEsol-optimized structure of KZn2Au (SCAN).

Output
Crystal system ... cubic

Cell: 4.905 4.905 4.905 Å, 60.00 60.00 60.00°
Element x y z (fractional)
Au1 0.500 0.500 0.500
K1 0.250 0.250 0.250
Zn1 0.000 0.000 0.000
Zn2 0.750 0.750 0.750

***

If we sort the structures by their calculated energies, the order from most to least stable is version one, version two, version four, version three.